First-principles (PBE+U) data for LiMoN2O after structural relaxation, as listed in the Alexandria database.

Calculated values
Energy   -31.2 eV/f.u.
Fermi-level density of states   0.582 states/eV/atom

Cell: 3.950 3.950 3.952 Å, 90.00 90.00 90.00°
Each line ends with the local moment (μB).
Atoms (fractional coordinates):
Mo1 0.000 0.000 0.000  -0.36
Li1 0.500 0.500 0.500  0.00
O1 0.000 0.000 0.500  0.14
N1 0.000 0.500 0.000  0.21
N2 0.500 0.000 0.000  0.21